# Sm2ErGa3Pt4

A geometry-optimized Sm2ErGa3Pt4 structure (PBE, the Alexandria database).

Unit cell a=4.203 b=4.203 c=11.507 alpha=90.00 beta=90.00 gamma=90.00
Sites, in units of the cell vectors:
Sm1 0.000 0.500 0.228
Sm2 0.500 0.000 0.772
Er1 0.000 0.000 0.500
Ga1 0.000 0.500 0.874
Ga2 0.500 0.000 0.126
Ga3 0.500 0.500 0.500
Pt1 0.000 0.000 0.000
Pt2 0.000 0.500 0.657
Pt3 0.500 0.000 0.343
Pt4 0.500 0.500 0.000

Computed properties:
For the magnetization, the calculation gives 0.00 μB/cell. Its density of states at the Fermi level is 5.756 states/eV/cell. The space group is P-4m2 (115).

# SrCd2W

A geometry-optimized SrCd2W structure (PBE, the Alexandria database).

Unit cell a=2.995 b=2.995 c=10.009 alpha=90.00 beta=90.00 gamma=90.00
Sites, in units of the cell vectors:
Sr1 0.000 0.000 0.000
Cd1 0.000 0.000 0.476
Cd2 0.500 0.500 0.719
W1 0.500 0.500 0.261

Computed properties:
For the magnetization, the calculation gives 0.00 μB/cell. Its density of states at the Fermi level is 2.408 states/eV/cell. The space group is P4mm (99).

Looking at energy relative to the elements for the records above, in order, we have -0.9912 0.5868 eV/atom.